[1]
ErMnZn11: optimized geometry, PBE-GGA.

Unit cell a=6.767 b=6.767 c=6.757 alpha=98.51 beta=98.51 gamma=134.41
Fractional positions:
Er (0.000, 0.000, 0.000)
Mn (0.000, 0.000, 0.500)
Zn (0.000, 0.500, 0.000)
Zn (0.010, 0.662, 0.647)
Zn (0.279, 0.496, 0.782)
Zn (0.338, 0.990, 0.353)
Zn (0.496, 0.279, 0.782)
Zn (0.500, 0.000, 0.000)
Zn (0.500, 0.500, 0.500)
Zn (0.504, 0.721, 0.218)
Zn (0.662, 0.010, 0.647)
Zn (0.721, 0.504, 0.218)
Zn (0.990, 0.338, 0.353)

Properties
* E_tot: -29.531 eV/f.u.
* energy of formation: -137 meV per atom
* D(E_F): 5.14 states/eV per cell

=====

[2]
Cu12Pd3Rh: optimized geometry, PBE-GGA.

Unit cell a=3.710 b=3.710 c=14.901 alpha=90.00 beta=90.00 gamma=90.00
Fractional positions:
Cu (0.000, 0.000, 0.000)
Cu (0.000, 0.000, 0.249)
Cu (0.000, 0.000, 0.500)
Cu (0.000, 0.000, 0.751)
Cu (0.000, 0.500, 0.124)
Cu (0.000, 0.500, 0.375)
Cu (0.000, 0.500, 0.625)
Cu (0.000, 0.500, 0.876)
Cu (0.500, 0.000, 0.124)
Cu (0.500, 0.000, 0.375)
Cu (0.500, 0.000, 0.625)
Cu (0.500, 0.000, 0.876)
Pd (0.500, 0.500, 0.249)
Pd (0.500, 0.500, 0.500)
Pd (0.500, 0.500, 0.751)
Rh (0.500, 0.500, 0.000)

Properties
* E_tot: -73.119 eV/f.u.
* energy of formation: -65 meV per atom
* D(E_F): 9.51 states/eV per cell

=====

[3]
NbRuF3: optimized geometry, PBE-GGA.

Unit cell a=4.257 b=4.257 c=4.257 alpha=90.00 beta=90.00 gamma=90.00
Fractional positions:
Nb (0.000, 0.000, 0.000)
Ru (0.500, 0.500, 0.500)
F (0.000, 0.500, 0.500)
F (0.500, 0.000, 0.500)
F (0.500, 0.500, 0.000)

Properties
* E_tot: -26.254 eV/f.u.
* excess energy over the best structure of this formula in the dataset: 11.21 kcal/mol of atoms
* energy relative to the elements, uncorrected: -0.26 eV per atom
* D(E_F): 7.55 states/eV per cell

=====

[4]
V6Ir5Os: optimized geometry, PBE-GGA.

Unit cell a=4.586 b=5.521 c=6.626 alpha=90.00 beta=93.77 gamma=90.00
Fractional positions:
V (0.000, 0.250, 0.000)
V (0.000, 0.750, 0.000)
V (0.337, 0.249, 0.667)
V (0.337, 0.751, 0.667)
V (0.663, 0.249, 0.333)
V (0.663, 0.751, 0.333)
Ir (0.164, 0.000, 0.333)
Ir (0.165, 0.500, 0.333)
Ir (0.500, 0.500, 0.000)
Ir (0.835, 0.500, 0.667)
Ir (0.836, 0.000, 0.667)
Os (0.500, 0.000, 0.000)

Properties
* E_tot: -115.386 eV/f.u.
* energy of formation: -428 meV per atom
* D(E_F): 16.78 states/eV per cell

=====

[5]
Co2SbHRh: optimized geometry, PBE-GGA.

Unit cell a=3.841 b=3.841 c=3.835 alpha=90.00 beta=90.00 gamma=90.00
Fractional positions:
Co (0.000, 0.500, 0.000)
Co (0.500, 0.000, 0.000)
Sb (0.000, 0.000, 0.500)
H (0.500, 0.500, 0.000)
Rh (0.500, 0.500, 0.500)

Properties
* E_tot: -29.480 eV/f.u.
* D(E_F): 2.89 states/eV per cell

=====

[6]
BaTe2P: optimized geometry, PBE-GGA.

Unit cell a=5.573 b=5.573 c=5.573 alpha=60.00 beta=60.00 gamma=60.00
Fractional positions:
Ba (0.000, 0.000, 0.000)
Te (0.500, 0.500, 0.500)
Te (0.750, 0.750, 0.750)
P (0.250, 0.250, 0.250)

Properties
* E_tot: -14.058 eV/f.u.
* energy relative to the elements, uncorrected: -0.11 eV per atom
* D(E_F): 4.76 states/eV per cell